Entry from the Alexandria database: a relaxed structure of NaAlSb2Os (PBE-GGA).

Values from the calculation:
* mass density: 6.36 g cm⁻³
* SG: P4/mmm (123)
* DOS at the Fermi energy: 4.02 states/eV/cell
* uncorrected energy: -3.162 eV/atom
* total moment: 0.00 μB per formula unit

Cell: 5.0838 5.0838 4.8835 Å, 90.00 90.00 90.00°
Closest atoms and distances in Å follow each position.
Fractional coordinates of all 5 atoms:
Na 0.0000 0.0000 0.0000  2 Os 2.44, 4 Sb 2.54
Al 0.5000 0.5000 0.5000  8 Sb 3.52, 4 Os 3.59
Sb 0.0000 0.5000 0.0000  2 Na 2.54
Sb 0.5000 0.0000 0.0000  2 Na 2.54
Os 0.0000 0.0000 0.5000  2 Na 2.44